Entry 1:
Computed, not measured: a relaxed Mn5Be2SiTc2 crystal at the PBE level of DFT. Values from VASP.

Geometry as Quantum ESPRESSO input:
```
&SYSTEM
  ibrav = 0, nat = 20, ntyp = 4
/
ATOMIC_SPECIES
Mn 54.94 Mn.upf
Be 9.01 Be.upf
Si 28.09 Si.upf
Tc 98.00 Tc.upf
CELL_PARAMETERS angstrom
8.7239 0.0000 0.0000
0.0000 8.7239 0.0000
0.0000 0.0000 2.8965
ATOMIC_POSITIONS crystal
Mn 0.0000 0.5000 0.0000
Mn 0.0623 0.2041 0.0000
Mn 0.2041 0.9377 0.0000
Mn 0.2959 0.4377 0.0000
Mn 0.4377 0.7041 0.0000
Mn 0.5000 0.0000 0.0000
Mn 0.5623 0.2959 0.0000
Mn 0.7041 0.5623 0.0000
Mn 0.7959 0.0623 0.0000
Mn 0.9377 0.7959 0.0000
Be 0.1270 0.3730 0.5000
Be 0.3730 0.8730 0.5000
Be 0.6270 0.1270 0.5000
Be 0.8730 0.6270 0.5000
Si 0.0000 0.0000 0.5000
Si 0.5000 0.5000 0.5000
Tc 0.1740 0.6740 0.5000
Tc 0.3260 0.1740 0.5000
Tc 0.6740 0.8260 0.5000
Tc 0.8260 0.3260 0.5000
```

Output
crystal system	tetragonal
energy relative to the elements, uncorrected	-0.59	eV/f.u.
DOS(E_F)	18.532	states/eV per cell


Entry 2:
Computed, not measured: a relaxed Mg2PW crystal at the PBE level of DFT. Values from VASP.

Geometry as Quantum ESPRESSO input:
```
&SYSTEM
  ibrav = 0, nat = 8, ntyp = 3
/
ATOMIC_SPECIES
Mg 24.30 Mg.upf
P 30.97 P.upf
W 183.84 W.upf
CELL_PARAMETERS angstrom
-3.8738 3.8738 2.4282
3.8738 -3.8738 2.4282
3.8738 3.8738 -2.4282
ATOMIC_POSITIONS crystal
Mg 0.0651 0.1250 0.4401
Mg 0.3750 0.9349 0.0599
Mg 0.6849 0.6250 0.5599
Mg 0.8750 0.3151 0.9401
P 0.0000 0.0000 0.0000
P 0.7500 0.2500 0.5000
W 0.2500 0.7500 0.5000
W 0.5000 0.5000 0.0000
```

Output
crystal system	tetragonal
E_form	48	kJ per mole of atoms
DOS(E_F)	5.747	states/eV per cell


Entry 3:
Computed, not measured: a relaxed Ac2Tb6Ho crystal at the PBE level of DFT. Values from VASP.

Geometry as Quantum ESPRESSO input:
```
&SYSTEM
  ibrav = 0, nat = 9, ntyp = 3
/
ATOMIC_SPECIES
Ac 227.00 Ac.upf
Tb 158.93 Tb.upf
Ho 164.93 Ho.upf
CELL_PARAMETERS angstrom
8.8070 0.0000 0.0000
0.0000 3.6414 0.0000
-2.1118 0.0000 9.8896
ATOMIC_POSITIONS crystal
Ac 0.1938 0.0000 0.4616
Ac 0.8062 0.0000 0.5384
Tb 0.1234 0.5000 0.7850
Tb 0.1836 0.0000 0.0981
Tb 0.4805 0.5000 0.3234
Tb 0.5195 0.5000 0.6766
Tb 0.8164 0.0000 0.9019
Tb 0.8766 0.5000 0.2150
Ho 0.5000 0.5000 0.0000
```

Output
crystal system	monoclinic
E_form	13	kJ per mole of atoms
DOS(E_F)	14.645	states/eV per cell


Entry 4:
Computed, not measured: a relaxed SrLiTc2 crystal at the PBE level of DFT. Values from VASP.

Geometry as Quantum ESPRESSO input:
```
&SYSTEM
  ibrav = 0, nat = 4, ntyp = 3
/
ATOMIC_SPECIES
Sr 87.62 Sr.upf
Li 6.94 Li.upf
Tc 98.00 Tc.upf
CELL_PARAMETERS angstrom
2.4576 -3.2583 0.0000
2.4576 3.2583 0.0000
0.0000 0.0000 4.9637
ATOMIC_POSITIONS crystal
Sr 0.0000 0.0000 0.0000
Li 0.5000 0.5000 0.0000
Tc 0.3212 0.6788 0.5000
Tc 0.6788 0.3212 0.5000
```

Output
crystal system	orthorhombic
E_form	58	kJ per mole of atoms
DOS(E_F)	3.172	states/eV per cell


Question: Look up the DOS(E_F) of the first one.
Answer: 18.532 states/eV per cell


Question: DOS(E_F) of number 1 (Mn5Be2SiTc2)?
Answer: 18.532 states/eV per cell


Question: The lowest DOS(E_F) belongs to which entry?
Answer: SrLiTc2